1.
First-principles (PBE) data for a relaxed structure of HoErPt2, as listed in OQMD.

Results
* mass density: 13.86 g/cm³
* space group: No. 31
* formation enthalpy at 0 K: -1308.8 meV per atom
* calculated total energy: -6.622 eV/atom
* total magnetization: 0.000 μB/atom

```
HoErPt2
1.0
4.4787 0.0000 0.0000
0.0000 6.9702 0.0000
0.0000 0.0000 5.5429
Er Pt Ho
2 4 2
direct
0.0000 0.4320 0.6404 Er
0.5000 0.5680 0.1404 Er
0.5000 0.7037 0.6557 Pt
0.5000 0.2067 0.8443 Pt
0.0000 0.7933 0.3443 Pt
0.0000 0.2963 0.1557 Pt
0.5000 0.0685 0.3597 Ho
0.0000 0.9315 0.8597 Ho
```



2.
First-principles (PBE) data for a relaxed structure of HoErPt2, as listed in OQMD.

Results
* mass density: 13.86 g/cm³
* space group: No. 26
* formation enthalpy at 0 K: -1308.7 meV per atom
* calculated total energy: -6.622 eV/atom
* total magnetization: 0.000 μB/atom

```
HoErPt2
1.0
-3.4491 2.2786 -1.7208
-3.1136 -4.5807 0.1754
-2.1032 1.6761 6.4352
Er Pt Ho
2 4 2
direct
0.5000 0.8904 0.6819 Er
0.5000 0.1096 0.1819 Er
0.0000 0.9059 0.9551 Pt
0.5000 0.5947 0.0448 Pt
0.0000 0.0941 0.4551 Pt
0.5000 0.4053 0.5448 Pt
0.0000 0.6098 0.3183 Ho
0.0000 0.3902 0.8183 Ho
```



3.
First-principles (PBE) data for a relaxed structure of HoErPt2, as listed in OQMD.

Results
* mass density: 13.86 g/cm³
* space group: No. 11
* formation enthalpy at 0 K: -1308.7 meV per atom
* calculated total energy: -6.622 eV/atom
* total magnetization: 0.000 μB/atom

```
HoErPt2
1.0
5.5394 0.0000 0.0000
0.0000 4.4767 0.0000
-0.0188 0.0000 6.9789
Er Pt Ho
2 4 2
direct
0.3598 0.7500 0.6816 Er
0.6402 0.2500 0.3184 Er
0.8438 0.7500 0.5443 Pt
0.3451 0.2500 0.9547 Pt
0.1562 0.2500 0.4557 Pt
0.6549 0.7500 0.0453 Pt
0.8595 0.2500 0.8180 Ho
0.1405 0.7500 0.1820 Ho
```